1.
An optimized crystal structure of Nd2TmSb3Pt4. Source: the Alexandria database, functional GGA-PBE.

Cell lengths 4.5068, 4.5068, 11.4484 Å; angles 90.00, 90.00, 90.00 degrees
With the nearest neighbours (Å) after each atom.
Element x y z (fractional)
Nd: 0.0000 0.5000 0.2147  4 Sb 3.32, 8 Pt 3.33-3.59
Nd: 0.5000 0.0000 0.7853  4 Sb 3.32, 8 Pt 3.33-3.59
Tm: 0.0000 0.0000 0.5000  4 Pt 2.77
Sb: 0.0000 0.5000 0.8681  5 Pt 2.60-2.71
Sb: 0.5000 0.0000 0.1319  5 Pt 2.60-2.71
Sb: 0.5000 0.5000 0.5000  4 Pt 2.77
Pt: 0.0000 0.0000 0.0000  4 Sb 2.71
Pt: 0.0000 0.5000 0.6412  3 Sb 2.60-2.77, 2 Tm 2.77
Pt: 0.5000 0.0000 0.3588  3 Sb 2.60-2.77, 2 Tm 2.77
Pt: 0.5000 0.5000 0.0000  4 Sb 2.71

Values from the calculation:
Uncorrected formation energy   -955 meV per atom

***

2.
An optimized crystal structure of Y2Ho5. Source: the Alexandria database, functional GGA-PBE.

Cell lengths 8.7299, 8.7299, 8.7299 Å; angles 37.69, 37.69, 37.69 degrees
With the nearest neighbours (Å) after each atom.
Element x y z (fractional)
Y: 0.1424 0.1424 0.1424  5 Ho 3.46-3.49, 3 Y 3.46
Y: 0.8576 0.8576 0.8576  5 Ho 3.46-3.49, 3 Y 3.46
Ho: 0.0000 0.0000 0.0000  6 Ho 3.45, 2 Y 3.46
Ho: 0.2859 0.2859 0.2859  7 Ho 3.45-3.46, 1 Y 3.49
Ho: 0.4281 0.4281 0.4281  5 Ho 3.45-3.50, 3 Y 3.46
Ho: 0.5719 0.5719 0.5719  5 Ho 3.45-3.50, 3 Y 3.46
Ho: 0.7141 0.7141 0.7141  7 Ho 3.45-3.46, 1 Y 3.49

Values from the calculation:
Energy relative to the lowest polymorph listed for this composition   0.96 eV/f.u.
Calculated formation energy   0.98 eV/f.u.

***

3.
An optimized crystal structure of K2LaFe. Source: the Alexandria database, functional GGA-PBE.

Cell lengths 4.3208, 3.6731, 10.9625 Å; angles 90.00, 101.21, 90.00 degrees
With the nearest neighbours (Å) after each atom.
Element x y z (fractional)
K: 0.0000 0.0000 0.0000  2 K 3.67, 2 Fe 3.72, 2 La 4.02
K: 0.3076 0.5000 0.6248  1 Fe 3.48, 2 K 3.67
La: 0.6550 0.0000 0.3151  4 Fe 2.84
Fe: 0.1484 0.5000 0.3012  4 La 2.84

Values from the calculation:
Energy relative to the lowest polymorph listed for this composition   0.00 eV/f.u.
Calculated formation energy   1.82 eV/f.u.

***

4.
An optimized crystal structure of Li2AcY2In2. Source: the Alexandria database, functional GGA-PBE.

Cell lengths 9.7580, 9.7580, 9.7580 Å; angles 29.46, 29.46, 29.46 degrees
With the nearest neighbours (Å) after each atom.
Element x y z (fractional)
Li: 0.0827 0.0827 0.0827  3 In 2.87, 3 Y 3.15
Li: 0.9173 0.9173 0.9173  3 In 2.87, 3 Y 3.15
Ac: 0.5000 0.5000 0.5000  6 In 3.65, 2 Y 3.67, 6 Li 3.71
Y: 0.3689 0.3689 0.3689  3 Li 3.15, 4 In 3.19-3.40, 3 Y 3.49
Y: 0.6311 0.6311 0.6311  3 Li 3.15, 4 In 3.19-3.40, 3 Y 3.49
In: 0.2474 0.2474 0.2474  3 Li 2.87, 3 Y 3.19
In: 0.7526 0.7526 0.7526  3 Li 2.87, 3 Y 3.19

Values from the calculation:
Calculated formation energy   -1.80 eV/f.u.

***

Calculated final energy, -60.1; -34.8; -13.8; -28.1 eV per cell (same order as the records).